1.
Here is a geometry-optimized LaBe2Pd2 structure from the Alexandria database. Energies are from PBE.

Output
**Spin magnetization**: 0.00 μB per formula unit
**N(E_F)**: 3.126 states/eV/f.u.
**Calculated formation energy**: -50.3 kJ per mole of atoms
**SG**: I4/mmm (139)
**Crystal system**: tetragonal

Lattice parameters (Å, degrees): 4.0999 4.0999 10.0870 90.00 90.00 90.00
Closest atoms and distances in Å follow each position.
Positions (direct):
La  0.0000  0.0000  0.0000  10 Pd 3.24-3.61, 8 Be 3.25
La  0.5000  0.5000  0.5000  10 Pd 3.24-3.61, 8 Be 3.25
Be  0.0000  0.5000  0.2500  4 Pd 2.32
Be  0.0000  0.5000  0.7500  4 Pd 2.32
Be  0.5000  0.0000  0.2500  4 Pd 2.32
Be  0.5000  0.0000  0.7500  4 Pd 2.32
Pd  0.0000  0.0000  0.3577  4 Be 2.32
Pd  0.0000  0.0000  0.6423  4 Be 2.32
Pd  0.5000  0.5000  0.1423  4 Be 2.32
Pd  0.5000  0.5000  0.8577  4 Be 2.32


2.
Here is a geometry-optimized LaBePd3 structure from the Alexandria database. Energies are from PBE.

Output
**Spin magnetization**: 0.00 μB per formula unit
**N(E_F)**: 5.214 states/eV/f.u.
**Calculated formation energy**: -63.9 kJ per mole of atoms
**SG**: Pm-3m (221)
**Crystal system**: cubic

Lattice parameters (Å, degrees): 4.4683 4.4683 4.4683 90.00 90.00 90.00
Closest atoms and distances in Å follow each position.
Positions (direct):
La  0.0000  0.0000  0.0000  12 Pd 3.16
Be  0.5000  0.5000  0.5000  6 Pd 2.23
Pd  0.0000  0.5000  0.5000  2 Be 2.23
Pd  0.5000  0.0000  0.5000  2 Be 2.23
Pd  0.5000  0.5000  0.0000  2 Be 2.23


3.
Here is a geometry-optimized LaBePd3 structure from the Alexandria database. Energies are from PBE.

Output
**Spin magnetization**: 0.00 μB per formula unit
**N(E_F)**: 2.751 states/eV/f.u.
**Calculated formation energy**: 97.2 kJ per mole of atoms
**SG**: Pm-3m (221)
**Crystal system**: cubic

Lattice parameters (Å, degrees): 5.1273 5.1273 5.1273 90.00 90.00 90.00
Closest atoms and distances in Å follow each position.
Positions (direct):
La  0.0000  0.0000  0.0000  6 Pd 2.56
Be  0.5000  0.5000  0.5000  12 Pd 3.63
Pd  0.0000  0.0000  0.5000  2 La 2.56
Pd  0.0000  0.5000  0.0000  2 La 2.56
Pd  0.5000  0.0000  0.0000  2 La 2.56